# 1
Material: InPAu
Method: DFT, meta-GGA SCAN
State: PBEsol geometry

abc: 4.454 4.454 4.454
angles: 60.00 60.00 60.00
Positions (direct):
Au  0.250  0.250  0.250
In  0.000  0.000  0.000
P  0.500  0.500  0.500

Summary:
* calculated total energy: -37.53 eV per atom
* calculated formation energy: 0.12 eV per atom
* SG: F-43m, No. 216
* D(E_F): 1.7 states/eV/f.u.

---

# 2
Material: Bi2HO
Method: DFT, meta-GGA SCAN
State: PBEsol geometry

abc: 5.384 5.384 6.534
angles: 114.33 114.33 90.00
Positions (direct):
H  0.750  0.250  0.500
H  0.500  0.500  0.000
Bi  0.390  0.875  0.250
Bi  0.860  0.375  0.250
Bi  0.125  0.140  0.750
Bi  0.625  0.610  0.750
O  0.250  0.750  0.500
O  0.000  0.000  0.000

Summary:
* calculated total energy: -41.56 eV per atom
* SG: I-42d, No. 122
* D(E_F): 1.2 states/eV/f.u.